## SmYNi2Ge4 (PBE)

Data for a relaxed SmYNi2Ge4 crystal.

CIF file:
```
data_SmYNi2Ge4
_chemical_formula_sum 'Sm2 Y2 Ni4 Ge8'
_cell_length_a 4.205
_cell_length_b 4.175
_cell_length_c 16.667
_cell_angle_alpha 90.00
_cell_angle_beta 90.00
_cell_angle_gamma 90.00
_symmetry_space_group_name_H-M 'A m m 2'
_symmetry_Int_Tables_number 38
loop_
_symmetry_equiv_pos_as_xyz
'x,y,z'
'-x,-y,z'
'-x,y,z'
'x,-y,z'
'x,y+1/2,z+1/2'
'-x,-y+1/2,z+1/2'
'-x,y+1/2,z+1/2'
'x,-y+1/2,z+1/2'
loop_
_atom_site_label
_atom_site_type_symbol
_atom_site_fract_x
_atom_site_fract_y
_atom_site_fract_z
Sm1 Sm 0.000 0.000 0.000
Y1 Y 0.500 0.000 0.784
Ni1 Ni 0.000 0.000 0.212
Ni2 Ni 0.500 0.000 0.574
Ge1 Ge 0.000 0.000 0.350
Ge2 Ge 0.000 0.000 0.643
Ge3 Ge 0.500 0.000 0.144
Ge4 Ge 0.500 0.000 0.434
```

Energy ... -5.824 eV/atom
Spin magnetization ... 0.008 μB per cell



## NiSnGe (PBE)

Data for a relaxed NiSnGe crystal.

CIF file:
```
data_NiSnGe
_chemical_formula_sum 'Ni4 Sn4 Ge4'
_cell_length_a 6.294
_cell_length_b 6.294
_cell_length_c 6.294
_cell_angle_alpha 90.00
_cell_angle_beta 90.00
_cell_angle_gamma 90.00
_symmetry_space_group_name_H-M 'F -4 3 m'
_symmetry_Int_Tables_number 216
_symmetry_space_group_name_Hall 'F -4 2 3'
loop_
_atom_site_label
_atom_site_type_symbol
_atom_site_fract_x
_atom_site_fract_y
_atom_site_fract_z
Ni1 Ni 0.000 0.000 0.000
Sn1 Sn 0.250 0.250 0.750
Ge1 Ge 0.000 0.000 0.500
```

Energy ... -4.352 eV/atom
Spin magnetization ... 0.053 μB per cell



## Ni2Sn3Ge2 (PBE)

Data for a relaxed Ni2Sn3Ge2 crystal.

CIF file:
```
data_Ni2Sn3Ge2
_chemical_formula_sum 'Ni4 Sn6 Ge4'
_cell_length_a 3.285
_cell_length_b 26.978
_cell_length_c 3.037
_cell_angle_alpha 90.00
_cell_angle_beta 90.00
_cell_angle_gamma 90.00
_symmetry_space_group_name_H-M 'C m m m'
_symmetry_Int_Tables_number 65
_symmetry_space_group_name_Hall '-C 2 2'
loop_
_atom_site_label
_atom_site_type_symbol
_atom_site_fract_x
_atom_site_fract_y
_atom_site_fract_z
Ni1 Ni 0.000 0.059 0.000
Sn1 Sn 0.000 0.379 0.500
Sn2 Sn 0.000 0.500 0.500
Ge1 Ge 0.000 0.212 0.000
```

Energy ... -4.527 eV/atom
Spin magnetization ... 0.000 μB per cell



## NiSnGe2 (PBE)

Data for a relaxed NiSnGe2 crystal.

CIF file:
```
data_NiSnGe2
_chemical_formula_sum 'Ni4 Sn4 Ge8'
_cell_length_a 6.645
_cell_length_b 6.645
_cell_length_c 6.645
_cell_angle_alpha 90.00
_cell_angle_beta 90.00
_cell_angle_gamma 90.00
_symmetry_space_group_name_H-M 'F -4 3 m'
_symmetry_Int_Tables_number 216
_symmetry_space_group_name_Hall 'F -4 2 3'
loop_
_atom_site_label
_atom_site_type_symbol
_atom_site_fract_x
_atom_site_fract_y
_atom_site_fract_z
Ni1 Ni 0.000 0.000 0.000
Sn1 Sn 0.250 0.250 0.750
Ge1 Ge 0.000 0.000 0.500
Ge2 Ge 0.250 0.250 0.250
```

Energy ... -4.417 eV/atom
Spin magnetization ... 0.001 μB per cell



## Ni5Sn3Ge2 (PBE)

Data for a relaxed Ni5Sn3Ge2 crystal.

CIF file:
```
data_Ni5Sn3Ge2
_chemical_formula_sum 'Ni20 Sn12 Ge8'
_cell_length_a 4.006
_cell_length_b 12.917
_cell_length_c 12.058
_cell_angle_alpha 90.00
_cell_angle_beta 90.00
_cell_angle_gamma 90.00
_symmetry_space_group_name_H-M 'C m c m'
_symmetry_Int_Tables_number 63
_symmetry_space_group_name_Hall '-C 2c 2'
loop_
_atom_site_label
_atom_site_type_symbol
_atom_site_fract_x
_atom_site_fract_y
_atom_site_fract_z
Ni1 Ni 0.000 0.022 0.146
Ni2 Ni 0.000 0.164 0.750
Ni3 Ni 0.000 0.341 0.638
Sn1 Sn 0.000 0.167 0.530
Sn2 Sn 0.000 0.500 0.000
Ge1 Ge 0.000 0.201 0.250
Ge2 Ge 0.000 0.461 0.250
```

Energy ... -5.063 eV/atom
Spin magnetization ... 0.015 μB per cell



## NiSn2Ge (PBE)

Data for a relaxed NiSn2Ge crystal.

CIF file:
```
data_NiSn2Ge
_chemical_formula_sum 'Ni4 Sn8 Ge4'
_cell_length_a 6.910
_cell_length_b 6.910
_cell_length_c 6.910
_cell_angle_alpha 90.00
_cell_angle_beta 90.00
_cell_angle_gamma 90.00
_symmetry_space_group_name_H-M 'F -4 3 m'
_symmetry_Int_Tables_number 216
_symmetry_space_group_name_Hall 'F -4 2 3'
loop_
_atom_site_label
_atom_site_type_symbol
_atom_site_fract_x
_atom_site_fract_y
_atom_site_fract_z
Ni1 Ni 0.000 0.000 0.000
Sn1 Sn 0.000 0.000 0.500
Sn2 Sn 0.250 0.250 0.250
Ge1 Ge 0.250 0.250 0.750
```

Energy ... -4.217 eV/atom
Spin magnetization ... 0.010 μB per cell



## NiSnGe (PBE)

Data for a relaxed NiSnGe crystal.

CIF file:
```
data_NiSnGe
_chemical_formula_sum 'Ni4 Sn4 Ge4'
_cell_length_a 6.059
_cell_length_b 6.059
_cell_length_c 6.059
_cell_angle_alpha 90.00
_cell_angle_beta 90.00
_cell_angle_gamma 90.00
_symmetry_space_group_name_H-M 'F -4 3 m'
_symmetry_Int_Tables_number 216
_symmetry_space_group_name_Hall 'F -4 2 3'
loop_
_atom_site_label
_atom_site_type_symbol
_atom_site_fract_x
_atom_site_fract_y
_atom_site_fract_z
Ni1 Ni 0.000 0.000 0.000
Sn1 Sn 0.250 0.250 0.250
Ge1 Ge 0.250 0.250 0.750
```

Energy ... -4.882 eV/atom
Spin magnetization ... 0.008 μB per cell



## SrNiSnGe2 (PBE)

Data for a relaxed SrNiSnGe2 crystal.

CIF file:
```
data_SrNiSnGe2
_chemical_formula_sum 'Sr2 Ni2 Sn2 Ge4'
_cell_length_a 4.559
_cell_length_b 4.559
_cell_length_c 10.343
_cell_angle_alpha 90.00
_cell_angle_beta 90.00
_cell_angle_gamma 90.00
_symmetry_space_group_name_H-M 'I 4 m m'
_symmetry_Int_Tables_number 107
_symmetry_space_group_name_Hall 'I 4 -2'
loop_
_atom_site_label
_atom_site_type_symbol
_atom_site_fract_x
_atom_site_fract_y
_atom_site_fract_z
Sr1 Sr 0.000 0.000 0.000
Ni1 Ni 0.000 0.000 0.655
Sn1 Sn 0.000 0.000 0.409
Ge1 Ge 0.000 0.500 0.241
```

Energy ... -4.522 eV/atom
Spin magnetization ... 0.002 μB per cell



## SrNiSn2Ge (PBE)

Data for a relaxed SrNiSn2Ge crystal.

CIF file:
```
data_SrNiSn2Ge
_chemical_formula_sum 'Sr2 Ni2 Sn4 Ge2'
_cell_length_a 4.658
_cell_length_b 4.658
_cell_length_c 10.679
_cell_angle_alpha 90.00
_cell_angle_beta 90.00
_cell_angle_gamma 90.00
_symmetry_space_group_name_H-M 'I 4 m m'
_symmetry_Int_Tables_number 107
_symmetry_space_group_name_Hall 'I 4 -2'
loop_
_atom_site_label
_atom_site_type_symbol
_atom_site_fract_x
_atom_site_fract_y
_atom_site_fract_z
Sr1 Sr 0.000 0.000 0.000
Ni1 Ni 0.000 0.000 0.644
Sn1 Sn 0.000 0.500 0.252
Ge1 Ge 0.000 0.000 0.425
```

Energy ... -4.424 eV/atom
Spin magnetization ... 0.004 μB per cell



## Zr2Ni2SnGe (PBE)

Data for a relaxed Zr2Ni2SnGe crystal.

CIF file:
```
data_Zr2Ni2SnGe
_chemical_formula_sum 'Zr8 Ni8 Sn4 Ge4'
_cell_length_a 9.223
_cell_length_b 4.008
_cell_length_c 12.172
_cell_angle_alpha 90.00
_cell_angle_beta 109.66
_cell_angle_gamma 90.00
_symmetry_space_group_name_H-M 'P 1 m 1'
_symmetry_Int_Tables_number 6
loop_
_symmetry_equiv_pos_as_xyz
'x,y,z'
'x,-y,z'
loop_
_atom_site_label
_atom_site_type_symbol
_atom_site_fract_x
_atom_site_fract_y
_atom_site_fract_z
Zr1 Zr 0.000 0.000 0.000
Zr2 Zr 0.049 0.500 0.789
Zr3 Zr 0.103 0.500 0.223
Zr4 Zr 0.232 0.000 0.689
Zr5 Zr 0.288 0.500 0.503
Zr6 Zr 0.548 0.500 0.120
Zr7 Zr 0.604 0.000 0.926
Zr8 Zr 0.670 0.000 0.346
Ni1 Ni 0.032 0.500 0.542
Ni2 Ni 0.198 0.500 0.023
Ni3 Ni 0.287 0.000 0.929
Ni4 Ni 0.332 0.000 0.377
Ni5 Ni 0.514 0.500 0.719
Ni6 Ni 0.805 0.000 0.166
Ni7 Ni 0.841 0.500 0.300
Ni8 Ni 0.920 0.000 0.613
Sn1 Sn 0.026 0.000 0.397
Sn2 Sn 0.326 0.000 0.156
Sn3 Sn 0.741 0.500 0.547
Sn4 Sn 0.780 0.000 0.767
Ge1 Ge 0.379 0.500 0.865
Ge2 Ge 0.453 0.500 0.339
Ge3 Ge 0.485 0.000 0.610
Ge4 Ge 0.812 0.500 0.058
```

Energy ... -6.572 eV/atom
Spin magnetization ... 0.117 μB per cell



## Sr2Ni3Ge2 (PBE)

Data for a relaxed Sr2Ni3Ge2 crystal.

CIF file:
```
data_Sr2Ni3Ge2
_chemical_formula_sum 'Sr6 Ni9 Ge6'
_cell_length_a 4.1250
_cell_length_b 4.1250
_cell_length_c 30.0452
_cell_angle_alpha 90.00
_cell_angle_beta 90.00
_cell_angle_gamma 120.00
_symmetry_space_group_name_H-M 'R 3 m'
_symmetry_Int_Tables_number 160
_symmetry_space_group_name_Hall 'R 3 -2"'
loop_
_atom_site_label
_atom_site_type_symbol
_atom_site_fract_x
_atom_site_fract_y
_atom_site_fract_z
Sr1 Sr 0.0000 0.0000 0.0000
Sr2 Sr 0.0000 0.0000 0.4940
Ni1 Ni 0.0000 0.0000 0.4003
Ni2 Ni 0.0000 0.0000 0.5906
Ni3 Ni 0.0000 0.0000 0.9008
Ge1 Ge 0.0000 0.0000 0.2460
Ge2 Ge 0.0000 0.0000 0.7446
```

Energy ... -4.562 eV/atom
Spin magnetization ... 0.044 μB per cell



## Sr2NiGe (PBE)

Data for a relaxed Sr2NiGe crystal.

CIF file:
```
data_Sr2NiGe
_chemical_formula_sum 'Sr8 Ni4 Ge4'
_cell_length_a 7.167
_cell_length_b 7.167
_cell_length_c 7.167
_cell_angle_alpha 90.00
_cell_angle_beta 90.00
_cell_angle_gamma 90.00
_symmetry_space_group_name_H-M 'F -4 3 m'
_symmetry_Int_Tables_number 216
_symmetry_space_group_name_Hall 'F -4 2 3'
loop_
_atom_site_label
_atom_site_type_symbol
_atom_site_fract_x
_atom_site_fract_y
_atom_site_fract_z
Sr1 Sr 0.000 0.000 0.000
Sr2 Sr 0.250 0.250 0.250
Ni1 Ni 0.000 0.000 0.500
Ge1 Ge 0.250 0.250 0.750
```

Energy ... -3.375 eV/atom
Spin magnetization ... 0.000 μB per cell



## SrNi2Ge2 (PBE)

Data for a relaxed SrNi2Ge2 crystal.

CIF file:
```
data_SrNi2Ge2
_chemical_formula_sum 'Sr2 Ni4 Ge4'
_cell_length_a 4.183
_cell_length_b 4.183
_cell_length_c 10.376
_cell_angle_alpha 90.00
_cell_angle_beta 90.00
_cell_angle_gamma 90.00
_symmetry_space_group_name_H-M 'I 4/m m m'
_symmetry_Int_Tables_number 139
_symmetry_space_group_name_Hall '-I 4 2'
loop_
_atom_site_label
_atom_site_type_symbol
_atom_site_fract_x
_atom_site_fract_y
_atom_site_fract_z
Sr1 Sr 0.000 0.000 0.000
Ni1 Ni 0.000 0.500 0.250
Ge1 Ge 0.000 0.000 0.361
```

Energy ... -4.932 eV/atom
Spin magnetization ... 0.003 μB per cell



## SrTbNi2Ge4 (PBE)

Data for a relaxed SrTbNi2Ge4 crystal.

CIF file:
```
data_SrTbNi2Ge4
_chemical_formula_sum 'Sr2 Tb2 Ni4 Ge8'
_cell_length_a 4.187
_cell_length_b 4.257
_cell_length_c 17.107
_cell_angle_alpha 90.00
_cell_angle_beta 90.00
_cell_angle_gamma 90.00
_symmetry_space_group_name_H-M 'A m m 2'
_symmetry_Int_Tables_number 38
loop_
_symmetry_equiv_pos_as_xyz
'x,y,z'
'-x,-y,z'
'-x,y,z'
'x,-y,z'
'x,y+1/2,z+1/2'
'-x,-y+1/2,z+1/2'
'-x,y+1/2,z+1/2'
'x,-y+1/2,z+1/2'
loop_
_atom_site_label
_atom_site_type_symbol
_atom_site_fract_x
_atom_site_fract_y
_atom_site_fract_z
Sr1 Sr 0.000 0.000 0.000
Tb1 Tb 0.500 0.000 0.217
Ni1 Ni 0.000 0.000 0.786
Ni2 Ni 0.500 0.000 0.424
Ge1 Ge 0.000 0.000 0.355
Ge2 Ge 0.000 0.000 0.652
Ge3 Ge 0.500 0.000 0.566
Ge4 Ge 0.500 0.000 0.853
```

Energy ... -5.107 eV/atom
Spin magnetization ... 0.012 μB per cell



## SrTmNi2Ge4 (PBE)

Data for a relaxed SrTmNi2Ge4 crystal.

CIF file:
```
data_SrTmNi2Ge4
_chemical_formula_sum 'Sr2 Tm2 Ni4 Ge8'
_cell_length_a 4.158
_cell_length_b 4.223
_cell_length_c 17.181
_cell_angle_alpha 90.00
_cell_angle_beta 90.00
_cell_angle_gamma 90.00
_symmetry_space_group_name_H-M 'A m m 2'
_symmetry_Int_Tables_number 38
loop_
_symmetry_equiv_pos_as_xyz
'x,y,z'
'-x,-y,z'
'-x,y,z'
'x,-y,z'
'x,y+1/2,z+1/2'
'-x,-y+1/2,z+1/2'
'-x,y+1/2,z+1/2'
'x,-y+1/2,z+1/2'
loop_
_atom_site_label
_atom_site_type_symbol
_atom_site_fract_x
_atom_site_fract_y
_atom_site_fract_z
Sr1 Sr 0.000 0.000 0.000
Tm1 Tm 0.500 0.000 0.218
Ni1 Ni 0.000 0.000 0.784
Ni2 Ni 0.500 0.000 0.425
Ge1 Ge 0.000 0.000 0.354
Ge2 Ge 0.000 0.000 0.652
Ge3 Ge 0.500 0.000 0.566
Ge4 Ge 0.500 0.000 0.853
```

Energy ... -5.055 eV/atom
Spin magnetization ... 0.001 μB per cell



## SrYNi2Ge4 (PBE)

Data for a relaxed SrYNi2Ge4 crystal.

CIF file:
```
data_SrYNi2Ge4
_chemical_formula_sum 'Sr2 Y2 Ni4 Ge8'
_cell_length_a 4.172
_cell_length_b 4.246
_cell_length_c 17.102
_cell_angle_alpha 90.00
_cell_angle_beta 90.00
_cell_angle_gamma 90.00
_symmetry_space_group_name_H-M 'A m m 2'
_symmetry_Int_Tables_number 38
loop_
_symmetry_equiv_pos_as_xyz
'x,y,z'
'-x,-y,z'
'-x,y,z'
'x,-y,z'
'x,y+1/2,z+1/2'
'-x,-y+1/2,z+1/2'
'-x,y+1/2,z+1/2'
'x,-y+1/2,z+1/2'
loop_
_atom_site_label
_atom_site_type_symbol
_atom_site_fract_x
_atom_site_fract_y
_atom_site_fract_z
Sr1 Sr 0.000 0.000 0.000
Y1 Y 0.500 0.000 0.217
Ni1 Ni 0.000 0.000 0.785
Ni2 Ni 0.500 0.000 0.424
Ge1 Ge 0.000 0.000 0.355
Ge2 Ge 0.000 0.000 0.652
Ge3 Ge 0.500 0.000 0.566
Ge4 Ge 0.500 0.000 0.853
```

Energy ... -5.334 eV/atom
Spin magnetization ... 0.003 μB per cell



## SrZnNiGe2 (PBE)

Data for a relaxed SrZnNiGe2 crystal.

CIF file:
```
data_SrZnNiGe2
_chemical_formula_sum 'Sr2 Zn2 Ni2 Ge4'
_cell_length_a 4.264
_cell_length_b 4.264
_cell_length_c 10.488
_cell_angle_alpha 90.00
_cell_angle_beta 90.00
_cell_angle_gamma 90.00
_symmetry_space_group_name_H-M 'I -4 m 2'
_symmetry_Int_Tables_number 119
_symmetry_space_group_name_Hall 'I -4 -2'
loop_
_atom_site_label
_atom_site_type_symbol
_atom_site_fract_x
_atom_site_fract_y
_atom_site_fract_z
Sr1 Sr 0.000 0.000 0.000
Zn1 Zn 0.000 0.500 0.750
Ni1 Ni 0.000 0.500 0.250
Ge1 Ge 0.000 0.000 0.374
```

Energy ... -3.975 eV/atom
Spin magnetization ... 0.008 μB per cell



## TaNiGe (PBE)

Data for a relaxed TaNiGe crystal.

CIF file:
```
data_TaNiGe
_chemical_formula_sum 'Ta4 Ni4 Ge4'
_cell_length_a 6.290
_cell_length_b 3.787
_cell_length_c 7.207
_cell_angle_alpha 90.00
_cell_angle_beta 90.00
_cell_angle_gamma 90.00
_symmetry_space_group_name_H-M 'P n m a'
_symmetry_Int_Tables_number 62
loop_
_symmetry_equiv_pos_as_xyz
'x,y,z'
'-x,-y,-z'
'-x+1/2,-y,z+1/2'
'x+1/2,y,-z+1/2'
'x+1/2,-y+1/2,-z+1/2'
'-x+1/2,y+1/2,z+1/2'
'-x,y+1/2,-z'
'x,-y+1/2,z'
loop_
_atom_site_label
_atom_site_type_symbol
_atom_site_fract_x
_atom_site_fract_y
_atom_site_fract_z
Ta1 Ta 0.013 0.250 0.178
Ni1 Ni 0.168 0.250 0.577
Ge1 Ge 0.212 0.750 0.390
```

Energy ... -7.783 eV/atom
Spin magnetization ... 0.001 μB per cell



## Ta4Ni5Ge5 (PBE)

Data for a relaxed Ta4Ni5Ge5 crystal.

CIF file:
```
data_Ta4Ni5Ge5
_chemical_formula_sum 'Ta8 Ni10 Ge10'
_cell_length_a 9.005
_cell_length_b 9.005
_cell_length_c 5.713
_cell_angle_alpha 90.00
_cell_angle_beta 90.00
_cell_angle_gamma 90.00
_symmetry_space_group_name_H-M 'I -4'
_symmetry_Int_Tables_number 82
loop_
_symmetry_equiv_pos_as_xyz
'x,y,z'
'y,-x,-z'
'-x,-y,z'
'-y,x,-z'
'x+1/2,y+1/2,z+1/2'
'y+1/2,-x+1/2,-z+1/2'
'-x+1/2,-y+1/2,z+1/2'
'-y+1/2,x+1/2,-z+1/2'
loop_
_atom_site_label
_atom_site_type_symbol
_atom_site_fract_x
_atom_site_fract_y
_atom_site_fract_z
Ta1 Ta 0.100 0.299 0.001
Ni1 Ni 0.000 0.500 0.750
Ni2 Ni 0.103 0.793 0.240
Ge1 Ge 0.000 0.000 0.000
Ge2 Ge 0.094 0.288 0.502
```

Energy ... -7.337 eV/atom
Spin magnetization ... 0.011 μB per cell



## TaNiGe (PBE)

Data for a relaxed TaNiGe crystal.

CIF file:
```
data_TaNiGe
_chemical_formula_sum 'Ta4 Ni4 Ge4'
_cell_length_a 4.567
_cell_length_b 4.009
_cell_length_c 9.657
_cell_angle_alpha 90.00
_cell_angle_beta 90.00
_cell_angle_gamma 90.00
_symmetry_space_group_name_H-M 'P n m a'
_symmetry_Int_Tables_number 62
loop_
_symmetry_equiv_pos_as_xyz
'x,y,z'
'-x,-y,-z'
'-x+1/2,-y,z+1/2'
'x+1/2,y,-z+1/2'
'x+1/2,-y+1/2,-z+1/2'
'-x+1/2,y+1/2,z+1/2'
'-x,y+1/2,-z'
'x,-y+1/2,z'
loop_
_atom_site_label
_atom_site_type_symbol
_atom_site_fract_x
_atom_site_fract_y
_atom_site_fract_z
Ta1 Ta 0.229 0.250 0.165
Ni1 Ni 0.191 0.250 0.491
Ge1 Ge 0.183 0.250 0.862
```

Energy ... -7.532 eV/atom
Spin magnetization ... 0.032 μB per cell